Material: Rb2TeAsF6
Method: DFT, PBE
State: optimized geometry

Lattice parameters (Å, degrees): 6.670 6.670 6.670 114.90 114.90 99.10
Fractional coordinates of all 10 atoms:
1 Rb 0.250 0.750 0.500
2 Rb 0.750 0.250 0.500
3 Te 0.000 0.000 0.000
4 As 0.500 0.500 0.000
5 F 0.254 0.254 0.000
6 F 0.303 0.303 0.606
7 F 0.303 0.697 0.000
8 F 0.697 0.303 0.000
9 F 0.697 0.697 0.394
10 F 0.746 0.746 0.000

Output
D(E_F) = 5.1 states/eV/cell
uncorrected formation energy = -1995 meV per atom
total moment = 0.1000 μB/atom